No. 1
DFT (GGA-PBE) results for an optimized crystal structure of Dy2Lu3Hg3.

## Properties
DFT formation energy, eV per atom: -0.16
Theoretical density, Mg/m³: 11.4
Space group: No. 187

a = 6.9356 Å, b = 6.9356 Å, c = 5.0802 Å
α = 90.00°, β = 90.00°, γ = 120.00°
Positions (direct):
Dy: 0.3333 0.6667 0.5000
Dy: 0.0000 0.0000 0.0000
Lu: 0.5050 0.0100 0.0000
Lu: 0.9900 0.4950 0.0000
Lu: 0.5050 0.4950 0.0000
Hg: 0.3413 0.1707 0.5000
Hg: 0.8293 0.1707 0.5000
Hg: 0.8293 0.6587 0.5000

***

No. 2
DFT (GGA-PBE) results for an optimized crystal structure of ErTlFeS3.

## Properties
Energy, eV per atom: -5.6716
Theoretical density, Mg/m³: 5.8
Space group: No. 62

a = 14.6676 Å, b = 3.8944 Å, c = 10.5825 Å
α = 90.00°, β = 90.00°, γ = 90.00°
Positions (direct):
Er: 0.4828 0.7500 0.6574
Er: 0.0172 0.2500 0.1574
Er: 0.5172 0.2500 0.3426
Er: 0.9828 0.7500 0.8426
S: 0.0782 0.7500 0.6142
S: 0.9049 0.7500 0.0718
S: 0.0951 0.2500 0.9282
S: 0.9218 0.2500 0.3858
S: 0.8772 0.2500 0.7387
S: 0.5951 0.2500 0.5718
S: 0.4218 0.2500 0.1142
S: 0.3772 0.2500 0.7613
S: 0.1228 0.7500 0.2613
S: 0.4049 0.7500 0.4282
S: 0.5782 0.7500 0.8858
S: 0.6228 0.7500 0.2387
Fe: 0.4889 0.2500 0.9147
Fe: 0.0111 0.7500 0.4147
Fe: 0.5111 0.7500 0.0853
Fe: 0.9889 0.2500 0.5853
Tl: 0.7399 0.2500 0.0394
Tl: 0.2399 0.2500 0.4606
Tl: 0.2601 0.7500 0.9606
Tl: 0.7601 0.7500 0.5394

***

No. 3
DFT (GGA-PBE) results for an optimized crystal structure of UTaOs2.

## Properties
DFT formation energy, eV per atom: -0.25
Theoretical density, Mg/m³: 19.0
Space group: No. 123

a = 3.0825 Å, b = 3.0825 Å, c = 7.3454 Å
α = 90.00°, β = 90.00°, γ = 90.00°
Positions (direct):
Ta: 0.5000 0.5000 0.0000
Os: 0.0000 0.0000 0.2211
Os: 0.0000 0.0000 0.7789
U: 0.5000 0.5000 0.5000

***

No. 4
DFT (GGA-PBE) results for an optimized crystal structure of Cu5Ag4.

## Properties
DFT formation energy, eV per atom: 0.08
Theoretical density, Mg/m³: 9.4
Space group: No. 71

a = 13.4882 Å, b = 13.4882 Å, c = 13.4882 Å
α = 167.96°, β = 165.09°, γ = 19.21°
Positions (direct):
Cu: 0.5000 0.5000 0.0000
Cu: 0.7260 0.7260 0.0000
Cu: 0.8206 0.8206 0.0000
Cu: 0.1794 0.1794 0.0000
Cu: 0.2740 0.2740 0.0000
Ag: 0.9443 0.9443 0.0000
Ag: 0.0557 0.0557 0.0000
Ag: 0.3774 0.3774 0.0000
Ag: 0.6226 0.6226 0.0000